## MnPO4 (PBE+U)

Data for a relaxed structure of MnPO4.

CIF file:
```
data_MnPO4
_chemical_formula_sum 'Mn4 P4 O16'
_cell_length_a 9.495
_cell_length_b 4.816
_cell_length_c 7.722
_cell_angle_alpha 90.00
_cell_angle_beta 90.00
_cell_angle_gamma 90.00
_space_group_name_H-M_alt 'P 1'
_space_group_IT_number 1
_space_group_name_Hall 'P 1'
loop_
_atom_site_label
_atom_site_type_symbol
_atom_site_fract_x
_atom_site_fract_y
_atom_site_fract_z
Mn1 Mn 0.136 0.091 0.000
Mn2 Mn 0.364 0.591 0.500
Mn3 Mn 0.636 0.409 0.000
Mn4 Mn 0.864 0.909 0.500
P1 P 0.076 0.568 0.744
P2 P 0.424 0.068 0.244
P3 P 0.576 0.932 0.744
P4 P 0.924 0.432 0.244
O1 O 0.048 0.263 0.805
O2 O 0.067 0.307 0.187
O3 O 0.137 0.727 0.901
O4 O 0.176 0.566 0.588
O5 O 0.324 0.066 0.088
O6 O 0.363 0.227 0.401
O7 O 0.433 0.807 0.687
O8 O 0.452 0.763 0.305
O9 O 0.548 0.237 0.805
O10 O 0.567 0.193 0.187
O11 O 0.637 0.773 0.901
O12 O 0.676 0.934 0.588
O13 O 0.824 0.434 0.088
O14 O 0.863 0.273 0.401
O15 O 0.933 0.693 0.687
O16 O 0.952 0.737 0.305
```

Results
magnetization = 16.0 μB per cell
crystal system = orthorhombic
VASP energy = -7.3590 eV/atom